(1)
# Pm6Nd3Er2Tl, relaxed, DFT PBE-GGA
data_Pm6Nd3Er2Tl
_cell_length_a 6.2487
_cell_length_b 10.8776
_cell_length_c 11.8339
_cell_angle_alpha 90.00
_cell_angle_beta 100.47
_cell_angle_gamma 90.00
_space_group_name_H-M_alt 'C 1 2/m 1'
_space_group_IT_number 12
loop_
_space_group_symop_operation_xyz
'x,y,z'
'-x,-y,-z'
'-x,y,-z'
'x,-y,z'
'x+1/2,y+1/2,z'
'-x+1/2,-y+1/2,-z'
'-x+1/2,y+1/2,-z'
'x+1/2,-y+1/2,z'
loop_
_atom_site_label
_atom_site_type_symbol
_atom_site_fract_x
_atom_site_fract_y
_atom_site_fract_z
Pm1 Pm 0.2425 0.1636 0.2423
Pm2 Pm 0.2474 0.0000 0.7550
Nd1 Nd 0.0000 0.1688 0.5000
Nd2 Nd 0.0000 0.5000 0.5000
Er1 Er 0.0000 0.3346 0.0000
Tl1 Tl 0.0000 0.0000 0.0000
# Calculated total energy in eV per atom: -4.5311
# D(E_F) in states/eV/f.u.: 15.48
# DFT formation energy in kJ/mol of atoms: -1
# Magnetic moment in μB per formula unit: 0.0

=====

(2)
# NbTlTe3Pd, relaxed, DFT PBE-GGA
data_NbTlTe3Pd
_cell_length_a 8.7470
_cell_length_b 3.9202
_cell_length_c 10.7451
_cell_angle_alpha 90.00
_cell_angle_beta 113.89
_cell_angle_gamma 90.00
_space_group_name_H-M_alt 'P 1 21/m 1'
_space_group_IT_number 11
loop_
_space_group_symop_operation_xyz
'x,y,z'
'-x,-y,-z'
'-x,y+1/2,-z'
'x,-y+1/2,z'
loop_
_atom_site_label
_atom_site_type_symbol
_atom_site_fract_x
_atom_site_fract_y
_atom_site_fract_z
Nb1 Nb 0.2196 0.2500 0.1835
Tl1 Tl 0.2055 0.7500 0.7105
Te1 Te 0.0481 0.2500 0.8851
Te2 Te 0.2406 0.2500 0.4442
Te3 Te 0.4243 0.7500 0.1407
Pd1 Pd 0.4201 0.7500 0.3884
# Calculated total energy in eV per atom: -4.9201
# D(E_F) in states/eV/f.u.: 1.19
# Formation energy without anion corrections in kJ per mole of atoms: -39.7
# Magnetic moment in μB per formula unit: 0.0

=====

(3)
# Tl2NiB, relaxed, DFT PBE-GGA
data_Tl2NiB
_cell_length_a 6.6291
_cell_length_b 6.6291
_cell_length_c 6.6291
_cell_angle_alpha 90.00
_cell_angle_beta 90.00
_cell_angle_gamma 90.00
_space_group_name_H-M_alt 'F m -3 m'
_space_group_IT_number 225
_space_group_name_Hall '-F 4 2 3'
loop_
_atom_site_label
_atom_site_type_symbol
_atom_site_fract_x
_atom_site_fract_y
_atom_site_fract_z
Tl1 Tl 0.2500 0.2500 0.2500
Ni1 Ni 0.0000 0.0000 0.0000
B1 B 0.0000 0.0000 0.5000
# Excess energy over the best structure of this formula in the dataset in meV per atom: 81
# Calculated total energy in eV per atom: -3.1580
# D(E_F) in states/eV/f.u.: 4.52
# DFT formation energy in kJ/mol of atoms: 110
# Magnetic moment in μB per formula unit: 0.0

=====

(4)
# Ga2AgN2, relaxed, DFT PBE-GGA
data_Ga2AgN2
_cell_length_a 6.8015
_cell_length_b 6.8015
_cell_length_c 3.2093
_cell_angle_alpha 90.00
_cell_angle_beta 90.00
_cell_angle_gamma 90.00
_space_group_name_H-M_alt 'P 4/m b m'
_space_group_IT_number 127
_space_group_name_Hall '-P 4 2ab'
loop_
_atom_site_label
_atom_site_type_symbol
_atom_site_fract_x
_atom_site_fract_y
_atom_site_fract_z
Ga1 Ga 0.1275 0.3725 0.0000
Ag1 Ag 0.0000 0.0000 0.5000
N1 N 0.2312 0.2688 0.5000
# Excess energy over the best structure of this formula in the dataset in meV per atom: 113
# Calculated total energy in eV per atom: -4.6176
# D(E_F) in states/eV/f.u.: 2.07
# Formation energy without anion corrections in kJ per mole of atoms: 47.6
# Magnetic moment in μB per formula unit: 0.0

=====

(5)
# NdSiAg, relaxed, DFT PBE-GGA
data_NdSiAg
_cell_length_a 7.2708
_cell_length_b 4.3531
_cell_length_c 12.3668
_cell_angle_alpha 90.00
_cell_angle_beta 90.55
_cell_angle_gamma 90.00
_space_group_name_H-M_alt 'P 1 21/m 1'
_space_group_IT_number 11
loop_
_space_group_symop_operation_xyz
'x,y,z'
'-x,-y,-z'
'-x,y+1/2,-z'
'x,-y+1/2,z'
loop_
_atom_site_label
_atom_site_type_symbol
_atom_site_fract_x
_atom_site_fract_y
_atom_site_fract_z
Nd1 Nd 0.0180 0.2500 0.1246
Nd2 Nd 0.1598 0.2500 0.4207
Nd3 Nd 0.4821 0.7500 0.7955
Si1 Si 0.2294 0.7500 0.2504
Si2 Si 0.2573 0.7500 0.5894
Si3 Si 0.2679 0.2500 0.9228
Ag1 Ag 0.1469 0.2500 0.7037
Ag2 Ag 0.3474 0.7500 0.0413
Ag3 Ag 0.4933 0.7500 0.4111
# Calculated total energy in eV per atom: -4.8876
# D(E_F) in states/eV/f.u.: 0.64
# Formation energy without anion corrections in kJ per mole of atoms: -52.1
# Magnetic moment in μB per formula unit: 0.0

=====

(6)
# EuTaRh2, relaxed, DFT PBE-GGA
data_EuTaRh2
_cell_length_a 3.2076
_cell_length_b 3.2076
_cell_length_c 7.4551
_cell_angle_alpha 90.00
_cell_angle_beta 90.00
_cell_angle_gamma 90.00
_space_group_name_H-M_alt 'P 4/m m m'
_space_group_IT_number 123
_space_group_name_Hall '-P 4 2'
loop_
_atom_site_label
_atom_site_type_symbol
_atom_site_fract_x
_atom_site_fract_y
_atom_site_fract_z
Eu1 Eu 0.0000 0.0000 0.0000
Ta1 Ta 0.0000 0.0000 0.5000
Rh1 Rh 0.5000 0.5000 0.3038
# Calculated total energy in eV per atom: -9.6540
# D(E_F) in states/eV/f.u.: 8.09
# DFT formation energy in kJ/mol of atoms: -43
# Magnetic moment in μB per formula unit: 7.0

=====

(7)
# Li3Cu2Pd3, relaxed, DFT PBE-GGA
data_Li3Cu2Pd3
_cell_length_a 3.6429
_cell_length_b 3.7595
_cell_length_c 15.8097
_cell_angle_alpha 90.00
_cell_angle_beta 90.00
_cell_angle_gamma 90.00
_space_group_name_H-M_alt 'I m m m'
_space_group_IT_number 71
_space_group_name_Hall '-I 2 2'
loop_
_atom_site_label
_atom_site_type_symbol
_atom_site_fract_x
_atom_site_fract_y
_atom_site_fract_z
Li1 Li 0.0000 0.0000 0.0000
Li2 Li 0.0000 0.5000 0.1272
Cu1 Cu 0.0000 0.0000 0.2504
Pd1 Pd 0.0000 0.0000 0.5000
Pd2 Pd 0.0000 0.5000 0.3684
# Excess energy over the best structure of this formula in the dataset in meV per atom: 0
# Calculated total energy in eV per atom: -3.9879
# D(E_F) in states/eV/f.u.: 2.96
# DFT formation energy in kJ/mol of atoms: -29
# Magnetic moment in μB per formula unit: 0.0

=====

(8)
# ErThSe4, relaxed, DFT PBE-GGA
data_ErThSe4
_cell_length_a 7.0728
_cell_length_b 6.9641
_cell_length_c 7.1030
_cell_angle_alpha 90.00
_cell_angle_beta 93.10
_cell_angle_gamma 90.00
_space_group_name_H-M_alt 'P 1 21/c 1'
_space_group_IT_number 14
loop_
_space_group_symop_operation_xyz
'x,y,z'
'-x,-y,-z'
'-x,y+1/2,-z+1/2'
'x,-y+1/2,z+1/2'
loop_
_atom_site_label
_atom_site_type_symbol
_atom_site_fract_x
_atom_site_fract_y
_atom_site_fract_z
Er1 Er 0.0000 0.0000 0.0000
Th1 Th 0.5000 0.0000 0.5000
Se1 Se 0.1276 0.1314 0.6352
Se2 Se 0.3511 0.6415 0.6437
# Calculated total energy in eV per atom: -5.7208
# D(E_F) in states/eV/f.u.: 3.54
# Formation energy without anion corrections in kJ per mole of atoms: -135.1
# Magnetic moment in μB per formula unit: 0.7

=====

(9)
# Rb3IrCl7, relaxed, DFT PBE-GGA
data_Rb3IrCl7
_cell_length_a 9.9727
_cell_length_b 9.9727
_cell_length_c 6.9633
_cell_angle_alpha 90.00
_cell_angle_beta 90.00
_cell_angle_gamma 90.00
_space_group_name_H-M_alt 'P 4/m b m'
_space_group_IT_number 127
_space_group_name_Hall '-P 4 2ab'
loop_
_atom_site_label
_atom_site_type_symbol
_atom_site_fract_x
_atom_site_fract_y
_atom_site_fract_z
Rb1 Rb 0.0000 0.0000 0.0000
Rb2 Rb 0.1771 0.3229 0.5000
Ir1 Ir 0.0000 0.5000 0.0000
Cl1 Cl 0.0000 0.0000 0.5000
Cl2 Cl 0.1162 0.6162 0.2394
Cl3 Cl 0.1666 0.3334 0.0000
# Calculated total energy in eV per atom: -3.5322
# D(E_F) in states/eV/f.u.: 9.49
# Formation energy without anion corrections in kJ per mole of atoms: -124.2
# Magnetic moment in μB per formula unit: 1.1

=====

(10)
# NdErPu2N4, relaxed, DFT PBE-GGA
data_NdErPu2N4
_cell_length_a 6.0379
_cell_length_b 3.5104
_cell_length_c 6.0969
_cell_angle_alpha 90.00
_cell_angle_beta 109.53
_cell_angle_gamma 90.00
_space_group_name_H-M_alt 'P 1 2/m 1'
_space_group_IT_number 10
loop_
_space_group_symop_operation_xyz
'x,y,z'
'-x,-y,-z'
'-x,y,-z'
'x,-y,z'
loop_
_atom_site_label
_atom_site_type_symbol
_atom_site_fract_x
_atom_site_fract_y
_atom_site_fract_z
Nd1 Nd 0.0000 0.0000 0.0000
Er1 Er 0.0000 0.5000 0.5000
Pu1 Pu 0.5000 0.0000 0.5000
Pu2 Pu 0.5000 0.5000 0.0000
N1 N 0.2609 0.0000 0.7431
N2 N 0.2689 0.5000 0.2675
# Calculated total energy in eV per atom: -10.3133
# D(E_F) in states/eV/f.u.: 13.01
# Formation energy without anion corrections in kJ per mole of atoms: -135.2
# Magnetic moment in μB per formula unit: 9.4

=====

(11)
# CrSN2, relaxed, DFT PBE-GGA
data_CrSN2
_cell_length_a 2.7651
_cell_length_b 2.7651
_cell_length_c 17.8234
_cell_angle_alpha 90.00
_cell_angle_beta 90.00
_cell_angle_gamma 120.00
_space_group_name_H-M_alt 'R -3 m'
_space_group_IT_number 166
_space_group_name_Hall '-R 3 2"'
loop_
_atom_site_label
_atom_site_type_symbol
_atom_site_fract_x
_atom_site_fract_y
_atom_site_fract_z
Cr1 Cr 0.0000 0.0000 0.0000
S1 S 0.0000 0.0000 0.5000
N1 N 0.0000 0.0000 0.1071
# Calculated total energy in eV per atom: -6.5117
# D(E_F) in states/eV/f.u.: 2.54
# Formation energy without anion corrections in kJ per mole of atoms: 105.0
# Magnetic moment in μB per formula unit: 0.6

=====

(12)
# Rb2BaNp3S8, relaxed, DFT PBE-GGA
data_Rb2BaNp3S8
_cell_length_a 8.2784
_cell_length_b 8.2784
_cell_length_c 23.0226
_cell_angle_alpha 90.00
_cell_angle_beta 90.00
_cell_angle_gamma 120.00
_space_group_name_H-M_alt 'R 3 m'
_space_group_IT_number 160
_space_group_name_Hall 'R 3 -2"'
loop_
_atom_site_label
_atom_site_type_symbol
_atom_site_fract_x
_atom_site_fract_y
_atom_site_fract_z
Rb1 Rb 0.0000 0.0000 0.0000
Rb2 Rb 0.0000 0.0000 0.3665
Ba1 Ba 0.0000 0.0000 0.7437
Np1 Np 0.0024 0.5012 0.8683
S1 S 0.0000 0.0000 0.1407
S2 S 0.0000 0.0000 0.5992
S3 S 0.0337 0.5169 0.1395
S4 S 0.1844 0.3687 0.9267
# Calculated total energy in eV per atom: -6.7744
# D(E_F) in states/eV/f.u.: 28.42
# Formation energy without anion corrections in kJ per mole of atoms: -131.9
# Magnetic moment in μB per formula unit: 9.0

=====

(13)
# NdBi2Pb, relaxed, DFT PBE-GGA
data_NdBi2Pb
_cell_length_a 7.0924
_cell_length_b 8.5964
_cell_length_c 8.1530
_cell_angle_alpha 90.00
_cell_angle_beta 90.00
_cell_angle_gamma 90.00
_space_group_name_H-M_alt 'I m m a'
_space_group_IT_number 74
_space_group_name_Hall '-I 2b 2'
loop_
_atom_site_label
_atom_site_type_symbol
_atom_site_fract_x
_atom_site_fract_y
_atom_site_fract_z
Nd1 Nd 0.0000 0.2500 0.0383
Bi1 Bi 0.2500 0.0275 0.7500
Pb1 Pb 0.0000 0.2500 0.4758
# Excess energy over the best structure of this formula in the dataset in meV per atom: 4
# Calculated total energy in eV per atom: -4.4986
# D(E_F) in states/eV/f.u.: 1.84
# DFT formation energy in kJ/mol of atoms: -42
# Magnetic moment in μB per formula unit: 0.0

=====

(14)
# Cs2ErTlI6, relaxed, DFT PBE-GGA
data_Cs2ErTlI6
_cell_length_a 8.7346
_cell_length_b 12.7856
_cell_length_c 9.5105
_cell_angle_alpha 90.00
_cell_angle_beta 90.00
_cell_angle_gamma 90.00
_space_group_name_H-M_alt 'P m m n'
_space_group_IT_number 59
loop_
_space_group_symop_operation_xyz
'x,y,z'
'-x,-y,-z'
'-x+1/2,-y+1/2,z'
'x+1/2,y+1/2,-z'
'x+1/2,-y,-z'
'-x+1/2,y,z'
'-x,y+1/2,-z'
'x,-y+1/2,z'
loop_
_atom_site_label
_atom_site_type_symbol
_atom_site_fract_x
_atom_site_fract_y
_atom_site_fract_z
Cs1 Cs 0.2500 0.0295 0.2015
Er1 Er 0.2500 0.7500 0.7811
Tl1 Tl 0.2500 0.2500 0.7132
I1 I 0.0002 0.2500 0.4341
I2 I 0.0109 0.7500 0.0118
I3 I 0.2500 0.5144 0.7845
# Calculated total energy in eV per atom: -3.1074
# D(E_F) in states/eV/f.u.: 0.00
# Formation energy without anion corrections in kJ per mole of atoms: -126.7
# Magnetic moment in μB per formula unit: 0.0

=====

(15)
# BaCa4Ac15, relaxed, DFT PBE-GGA
data_BaCa4Ac15
_cell_length_a 5.6202
_cell_length_b 5.6202
_cell_length_c 28.3067
_cell_angle_alpha 90.00
_cell_angle_beta 90.00
_cell_angle_gamma 90.00
_space_group_name_H-M_alt 'P 4/m m m'
_space_group_IT_number 123
_space_group_name_Hall '-P 4 2'
loop_
_atom_site_label
_atom_site_type_symbol
_atom_site_fract_x
_atom_site_fract_y
_atom_site_fract_z
Ba1 Ba 0.0000 0.0000 0.0000
Ca1 Ca 0.0000 0.0000 0.2027
Ca2 Ca 0.0000 0.0000 0.4009
Ac1 Ac 0.0000 0.5000 0.1039
Ac2 Ac 0.0000 0.5000 0.3018
Ac3 Ac 0.0000 0.5000 0.5000
Ac4 Ac 0.5000 0.5000 0.0000
Ac5 Ac 0.5000 0.5000 0.2035
Ac6 Ac 0.5000 0.5000 0.4008
# Calculated total energy in eV per atom: -3.5376
# D(E_F) in states/eV/f.u.: 31.61
# DFT formation energy in kJ/mol of atoms: 4
# Magnetic moment in μB per formula unit: 0.0

=====

(16)
# MgSnRu, relaxed, DFT PBE-GGA
data_MgSnRu
_cell_length_a 4.7642
_cell_length_b 4.7714
_cell_length_c 9.2474
_cell_angle_alpha 90.00
_cell_angle_beta 90.00
_cell_angle_gamma 90.00
_space_group_name_H-M_alt 'F m m 2'
_space_group_IT_number 42
_space_group_name_Hall 'F 2 -2'
loop_
_atom_site_label
_atom_site_type_symbol
_atom_site_fract_x
_atom_site_fract_y
_atom_site_fract_z
Mg1 Mg 0.0000 0.0000 0.0000
Sn1 Sn 0.0000 0.0000 0.6885
Ru1 Ru 0.0000 0.0000 0.3431
# Calculated total energy in eV per atom: -5.1569
# D(E_F) in states/eV/f.u.: 0.55
# DFT formation energy in kJ/mol of atoms: -19
# Magnetic moment in μB per formula unit: 0.0

=====

(17)
# K2MnPb, relaxed, DFT PBE-GGA
data_K2MnPb
_cell_length_a 4.7048
_cell_length_b 4.7048
_cell_length_c 5.8565
_cell_angle_alpha 90.00
_cell_angle_beta 90.00
_cell_angle_gamma 90.00
_space_group_name_H-M_alt 'P 4/m m m'
_space_group_IT_number 123
_space_group_name_Hall '-P 4 2'
loop_
_atom_site_label
_atom_site_type_symbol
_atom_site_fract_x
_atom_site_fract_y
_atom_site_fract_z
K1 K 0.0000 0.5000 0.0000
Mn1 Mn 0.0000 0.0000 0.5000
Pb1 Pb 0.5000 0.5000 0.5000
# Calculated total energy in eV per atom: -3.2856
# D(E_F) in states/eV/f.u.: 3.78
# DFT formation energy in kJ/mol of atoms: 47
# Magnetic moment in μB per formula unit: 4.1

=====

(18)
# H4PtRh, relaxed, DFT PBE-GGA
data_H4PtRh
_cell_length_a 3.1539
_cell_length_b 3.1539
_cell_length_c 4.3943
_cell_angle_alpha 90.00
_cell_angle_beta 90.00
_cell_angle_gamma 90.00
_space_group_name_H-M_alt 'P 4/m m m'
_space_group_IT_number 123
_space_group_name_Hall '-P 4 2'
loop_
_atom_site_label
_atom_site_type_symbol
_atom_site_fract_x
_atom_site_fract_y
_atom_site_fract_z
H1 H 0.0000 0.5000 0.2377
Pt1 Pt 0.0000 0.0000 0.5000
Rh1 Rh 0.5000 0.5000 0.0000
# Excess energy over the best structure of this formula in the dataset in meV per atom: 0
# Calculated total energy in eV per atom: -4.3577
# D(E_F) in states/eV/f.u.: 1.65
# Magnetic moment in μB per formula unit: 0.0

=====

(19)
# AlCo2HOs, relaxed, DFT PBE-GGA
data_AlCo2HOs
_cell_length_a 3.6583
_cell_length_b 3.6583
_cell_length_c 3.8177
_cell_angle_alpha 90.00
_cell_angle_beta 90.00
_cell_angle_gamma 90.00
_space_group_name_H-M_alt 'P 4/m m m'
_space_group_IT_number 123
_space_group_name_Hall '-P 4 2'
loop_
_atom_site_label
_atom_site_type_symbol
_atom_site_fract_x
_atom_site_fract_y
_atom_site_fract_z
Al1 Al 0.0000 0.0000 0.0000
Co1 Co 0.0000 0.5000 0.5000
H1 H 0.5000 0.5000 0.5000
Os1 Os 0.5000 0.5000 0.0000
# Calculated total energy in eV per atom: -6.5599
# D(E_F) in states/eV/f.u.: 6.15
# Magnetic moment in μB per formula unit: 0.0

=====

(20)
# AlCr2Cd, relaxed, DFT PBE-GGA
data_AlCr2Cd
_cell_length_a 3.3252
_cell_length_b 4.0896
_cell_length_c 8.5141
_cell_angle_alpha 90.00
_cell_angle_beta 90.00
_cell_angle_gamma 90.00
_space_group_name_H-M_alt 'C m m m'
_space_group_IT_number 65
_space_group_name_Hall '-C 2 2'
loop_
_atom_site_label
_atom_site_type_symbol
_atom_site_fract_x
_atom_site_fract_y
_atom_site_fract_z
Al1 Al 0.0000 0.0000 0.0000
Cr1 Cr 0.0000 0.5000 0.2303
Cd1 Cd 0.0000 0.0000 0.5000
# Calculated total energy in eV per atom: -5.6198
# D(E_F) in states/eV/f.u.: 3.86
# DFT formation energy in kJ/mol of atoms: 34
# Magnetic moment in μB per formula unit: 0.0